A plane-wave DFT calculation with SCAN was carried out for K2MgHg at its PBEsol-relaxed geometry.

Calculated values
The calculation puts the energy at -90.32 eV/f.u. Its space group is No. 99.

abc: 3.930 3.930 10.083
angles: 90.00 90.00 90.00
Positions (direct):
K 0.000 0.000 0.000
K 0.500 0.500 0.393
Mg 0.000 0.000 0.661
Hg 0.500 0.500 0.753

A plane-wave DFT calculation with SCAN was carried out for TaAl3 at its PBEsol-relaxed geometry.

Calculated values
The calculation puts the energy at -91.19 eV/f.u. Its space group is No. 139.

abc: 5.040 5.040 5.040
angles: 135.37 135.37 64.96
Positions (direct):
Ta 0.000 0.000 0.000
Al 0.250 0.750 0.500
Al 0.500 0.500 0.000
Al 0.750 0.250 0.500

A plane-wave DFT calculation with SCAN was carried out for La2AsOsSe at its PBEsol-relaxed geometry.

Calculated values
The calculation puts the formation energy without anion corrections at 326 meV/atom. Its space group is No. 123.

abc: 5.587 5.587 4.681
angles: 90.00 90.00 90.00
Positions (direct):
La 0.000 0.500 0.000
La 0.500 0.000 0.000
As 0.000 0.000 0.000
Os 0.500 0.500 0.500
Se 0.000 0.000 0.500

A plane-wave DFT calculation with SCAN was carried out for Ta2NiP at its PBEsol-relaxed geometry.

Calculated values
The calculation puts the energy at -160.83 eV/f.u. Its space group is No. 160.

abc: 6.061 6.061 6.061
angles: 33.60 33.60 33.60
Positions (direct):
Ta 0.000 0.000 0.000
Ta 0.213 0.213 0.213
Ni 0.766 0.766 0.766
P 0.450 0.450 0.450

A plane-wave DFT calculation with SCAN was carried out for DyRh5 at its PBEsol-relaxed geometry.

Calculated values
The calculation puts the energy at -218.65 eV/f.u. Its space group is No. 191.

abc: 5.135 5.135 4.266
angles: 90.00 90.00 120.00
Positions (direct):
Dy 0.000 0.000 0.000
Rh 0.000 0.500 0.500
Rh 0.333 0.667 0.000
Rh 0.500 0.000 0.500
Rh 0.500 0.500 0.500
Rh 0.667 0.333 0.000

A plane-wave DFT calculation with SCAN was carried out for ZrTeP at its PBEsol-relaxed geometry.

Calculated values
The calculation puts the formation energy without anion corrections at -1014 meV/atom. Its space group is No. 129.

abc: 3.660 3.660 9.745
angles: 90.00 90.00 90.00
Positions (direct):
Zr 0.250 0.250 0.199
Zr 0.750 0.750 0.801
Te 0.250 0.250 0.654
Te 0.750 0.750 0.346
P 0.250 0.750 0.000
P 0.750 0.250 0.000

A plane-wave DFT calculation with SCAN was carried out for SnPdS2Br at its PBEsol-relaxed geometry.

Calculated values
The calculation puts the formation energy without anion corrections at 742 meV/atom. Its space group is No. 123.

abc: 4.961 4.961 4.643
angles: 90.00 90.00 90.00
Positions (direct):
Sn 0.000 0.000 0.000
Pd 0.500 0.500 0.000
S 0.000 0.500 0.500
S 0.500 0.000 0.500
Br 0.500 0.500 0.500

A plane-wave DFT calculation with SCAN was carried out for TlSbPtI2 at its PBEsol-relaxed geometry.

Calculated values
The calculation puts the formation energy without anion corrections at -11 meV/atom. Its space group is No. 123.

abc: 5.626 5.626 5.069
angles: 90.00 90.00 90.00
Positions (direct):
Tl 0.000 0.000 0.000
Sb 0.500 0.500 0.000
Pt 0.500 0.500 0.500
I 0.000 0.500 0.500
I 0.500 0.000 0.500